Record 1
PBE Be5VRh6, optimized geometry; total energy = -79.51 eV for the cell shown; formation energy from the elements = -638 meV/atom
1.0
3.848 0.016 -1.124
-0.780 4.990 -2.599
-0.077 0.350 6.904
Be Rh V
5 6 1
Cartesian
2.391 0.923 1.055
0.963 1.881 3.324
-0.390 2.495 -1.299
2.028 3.475 -0.143
0.601 4.433 2.126
2.699 3.113 2.139
3.079 0.678 3.408
1.272 4.043 4.422
1.720 1.313 -1.241
-0.087 4.678 -0.227
0.293 2.243 1.042
0.000 0.000 0.000

Record 2
PBE BeVRh, optimized geometry; total energy = -85.53 eV for the cell shown; formation energy from the elements = -395 meV/atom
1.0
-2.117 -2.853 1.541
9.189 -2.350 8.276
-1.185 1.879 1.850
Be Rh V
4 4 4
Cartesian
2.427 0.167 3.644
5.577 -0.639 6.481
5.962 -2.434 8.552
-0.076 -0.890 3.114
7.631 -1.952 6.873
1.558 -0.398 1.403
1.978 -2.203 3.505
5.094 -3.000 6.311
-1.059 -1.426 0.770
4.594 -1.175 4.138
-0.593 0.940 0.925
2.943 -1.662 5.833

Record 3
PBE BeV2Rh2, optimized geometry; total energy = -73.89 eV for the cell shown; formation energy from the elements = -56 meV/atom
1.0
-7.037 -0.508 0.657
-0.643 -0.217 -7.053
0.208 -2.794 0.067
Be Rh V
2 4 4
Cartesian
0.000 0.000 0.000
-3.840 -0.363 -3.198
-3.126 -0.373 -5.862
-6.496 -0.578 -3.909
-4.554 -0.352 -0.534
-1.184 -0.148 -2.487
-1.491 -1.626 -4.553
-5.117 -1.916 -5.413
-5.981 -1.894 -1.776
-2.355 -1.603 -0.916

Record 4
PBE Be2V2Rh, optimized geometry; total energy = -68.79 eV for the cell shown; formation energy from the elements = -271 meV/atom
1.0
-0.041 5.880 -0.771
-0.316 -0.772 -5.871
-3.215 0.000 0.173
Be Rh V
4 2 4
Cartesian
-0.292 1.522 -5.416
-0.234 4.652 -4.352
-0.066 3.586 -1.226
-0.123 0.456 -2.290
0.000 0.000 0.000
-0.179 2.554 -3.321
-1.826 0.471 -3.963
-1.898 3.284 -5.314
-1.747 4.637 -2.505
-1.674 1.824 -1.155

Record 5
PBE BeV2Rh6, optimized geometry; total energy = -67.29 eV for the cell shown; formation energy from the elements = -135 meV/atom
1.0
-1.441 -2.734 -2.608
5.270 -1.819 -1.004
-2.425 -1.604 6.152
Be V Rh
1 2 6
Cartesian
0.000 0.000 0.000
1.750 -3.526 -0.404
-0.347 -2.630 2.944
1.129 -1.712 1.171
-2.404 -3.520 1.880
0.275 -4.444 1.369
0.511 -1.792 -1.538
3.808 -2.637 0.660
3.318 -2.761 -2.074

Record 6
PBE Be3VRh, optimized geometry; total energy = -20.82 eV for the cell shown; formation energy from the elements = 1365 meV/atom
1.0
4.004 0.000 0.000
0.000 4.004 0.000
0.000 0.000 4.004
Be Rh V
3 1 1
Cartesian
0.000 2.002 0.000
0.000 0.000 2.002
2.002 0.000 0.000
2.002 2.002 2.002
0.000 0.000 0.000

Record 7
PBE Be17VRh, optimized geometry; total energy = -83.23 eV for the cell shown; formation energy from the elements = -180 meV/atom
1.0
-4.986 0.519 -2.182
1.113 -2.303 -4.832
-1.805 -5.021 1.192
Be V Rh
17 1 1
Cartesian
-2.754 -3.346 0.164
-3.142 -0.342 -2.969
0.222 -3.112 -3.011
-0.727 -1.459 -4.018
-0.933 -4.188 -0.627
-4.013 -1.153 -1.171
-1.423 -3.533 -4.460
-2.889 -4.898 -1.433
-4.487 -2.115 -3.128
-4.220 -3.308 -1.452
-2.816 -1.999 -4.352
-1.284 -4.666 -2.728
-6.161 -5.628 -3.433
-4.752 -4.316 -6.341
-3.216 -6.990 -4.712
-5.106 -6.120 -5.235
-0.576 -0.690 -0.590
-3.762 -4.509 -3.857
-1.906 -2.284 -1.954

Record 8
PBE BeV6Rh12, optimized geometry; total energy = -152.48 eV for the cell shown; formation energy from the elements = -306 meV/atom
1.0
-5.421 -3.307 0.987
2.963 -3.697 4.341
-1.693 4.042 4.701
Be V Rh
1 6 12
Cartesian
0.000 0.000 0.000
-1.656 -4.567 5.818
-3.304 -3.062 2.498
1.094 -1.901 4.661
-2.495 1.605 4.211
-0.846 0.099 7.531
-5.244 -1.061 5.369
-3.445 -2.881 5.194
-0.923 -2.189 6.442
-3.002 -0.189 6.172
-0.706 -0.081 4.835
-3.228 -0.773 3.587
-1.148 -2.773 3.857
-0.201 0.865 2.250
-4.407 -1.235 8.356
-2.046 -2.362 9.000
-3.950 -3.827 7.780
0.256 -1.727 1.673
-2.105 -0.600 1.029

no.,density of states at the Fermi level (states/eV per cell)
1,2.6
2,7.8
3,7.6
4,8.6
5,6.6
6,6.5
7,3.8
8,16.2